1.
DFT (PBE) results for a geometry-optimized HfPaTc2 structure. Values from VASP.

E: -10.429 eV per atom
DFT formation energy: -0.39 eV per atom

```
&SYSTEM
  ibrav = 0, nat = 4, ntyp = 3
/
ATOMIC_SPECIES
Hf 178.49 Hf.upf
Pa 231.04 Pa.upf
Tc 98.00 Tc.upf
CELL_PARAMETERS angstrom
4.757 0.000 0.000
0.000 4.757 0.000
0.000 0.000 3.346
ATOMIC_POSITIONS crystal
Hf 0.000 0.000 0.500
Pa 0.500 0.500 0.500
Tc 0.500 0.000 0.000
Tc 0.000 0.500 0.000
```

---

2.
DFT (PBE) results for a geometry-optimized HfPaTc structure. Values from VASP.

E: -9.367 eV per atom
DFT formation energy: 0.57 eV per atom
Polymorph energy (0 for the lowest one): 0 meV per atom

```
&SYSTEM
  ibrav = 0, nat = 3, ntyp = 3
/
ATOMIC_SPECIES
Hf 178.49 Hf.upf
Pa 231.04 Pa.upf
Tc 98.00 Tc.upf
CELL_PARAMETERS angstrom
3.406 -2.856 1.024
0.604 -1.378 4.306
-0.913 -4.315 1.163
ATOMIC_POSITIONS crystal
Hf 0.000 0.000 0.000
Pa 0.250 0.250 0.250
Tc 0.750 0.750 0.750
```

---

3.
DFT (PBE) results for a geometry-optimized HfPaTc structure. Values from VASP.

E: -9.156 eV per atom
DFT formation energy: 0.78 eV per atom
Polymorph energy (0 for the lowest one): 211 meV per atom

```
&SYSTEM
  ibrav = 0, nat = 3, ntyp = 3
/
ATOMIC_SPECIES
Hf 178.49 Hf.upf
Pa 231.04 Pa.upf
Tc 98.00 Tc.upf
CELL_PARAMETERS angstrom
0.000 3.229 3.229
3.229 0.000 3.229
3.229 3.229 0.000
ATOMIC_POSITIONS crystal
Hf 0.250 0.250 0.250
Pa 0.000 0.000 0.000
Tc 0.750 0.750 0.750
```

---

4.
DFT (PBE) results for a geometry-optimized HfUPa structure. Values from VASP.

E: -9.224 eV per atom
DFT formation energy: 1.03 eV per atom
Polymorph energy (0 for the lowest one): 0 meV per atom

```
&SYSTEM
  ibrav = 0, nat = 3, ntyp = 3
/
ATOMIC_SPECIES
Hf 178.49 Hf.upf
Pa 231.04 Pa.upf
U 238.03 U.upf
CELL_PARAMETERS angstrom
0.000 3.377 3.377
3.377 0.000 3.377
3.377 3.377 0.000
ATOMIC_POSITIONS crystal
Hf 0.250 0.250 0.250
Pa 0.750 0.750 0.750
U 0.000 0.000 0.000
```

---

5.
DFT (PBE) results for a geometry-optimized HfPaW structure. Values from VASP.

E: -9.549 eV per atom
DFT formation energy: 1.25 eV per atom
Polymorph energy (0 for the lowest one): 362 meV per atom

```
&SYSTEM
  ibrav = 0, nat = 3, ntyp = 3
/
ATOMIC_SPECIES
Hf 178.49 Hf.upf
Pa 231.04 Pa.upf
W 183.84 W.upf
CELL_PARAMETERS angstrom
2.698 -3.715 0.679
2.209 -0.556 4.044
-1.339 -3.335 2.937
ATOMIC_POSITIONS crystal
Hf 0.500 0.500 0.500
Pa 0.250 0.250 0.250
W 0.000 0.000 0.000
```

---

6.
DFT (PBE) results for a geometry-optimized HfPaW structure. Values from VASP.

E: -9.911 eV per atom
DFT formation energy: 0.89 eV per atom
Polymorph energy (0 for the lowest one): 0 meV per atom

```
&SYSTEM
  ibrav = 0, nat = 3, ntyp = 3
/
ATOMIC_SPECIES
Hf 178.49 Hf.upf
Pa 231.04 Pa.upf
W 183.84 W.upf
CELL_PARAMETERS angstrom
0.000 3.279 3.279
3.279 0.000 3.279
3.279 3.279 0.000
ATOMIC_POSITIONS crystal
Hf 0.000 0.000 0.000
Pa 0.250 0.250 0.250
W 0.750 0.750 0.750
```

---

7.
DFT (PBE) results for a geometry-optimized YHfPa structure. Values from VASP.

E: -7.712 eV per atom
DFT formation energy: 0.93 eV per atom
Polymorph energy (0 for the lowest one): 0 meV per atom

```
&SYSTEM
  ibrav = 0, nat = 3, ntyp = 3
/
ATOMIC_SPECIES
Hf 178.49 Hf.upf
Pa 231.04 Pa.upf
Y 88.91 Y.upf
CELL_PARAMETERS angstrom
0.000 3.553 3.553
3.553 0.000 3.553
3.553 3.553 0.000
ATOMIC_POSITIONS crystal
Hf 0.000 0.000 0.000
Pa 0.250 0.250 0.250
Y 0.750 0.750 0.750
```

---

8.
DFT (PBE) results for a geometry-optimized HfPb2 structure. Values from VASP.

E: -5.366 eV per atom

```
&SYSTEM
  ibrav = 0, nat = 3, ntyp = 2
/
ATOMIC_SPECIES
Hf 178.49 Hf.upf
Pb 207.20 Pb.upf
CELL_PARAMETERS angstrom
-2.323 -3.711 2.444
-3.840 -2.401 -2.152
0.551 -4.742 -1.534
ATOMIC_POSITIONS crystal
Hf 0.000 0.000 0.000
Pb 0.250 0.250 0.250
Pb 0.750 0.750 0.750
```

---

9.
DFT (PBE) results for a geometry-optimized Hf5Pb structure. Values from VASP.

E: -8.940 eV per atom

```
&SYSTEM
  ibrav = 0, nat = 6, ntyp = 2
/
ATOMIC_SPECIES
Hf 178.49 Hf.upf
Pb 207.20 Pb.upf
CELL_PARAMETERS angstrom
2.186 -7.091 0.000
2.186 7.091 0.000
0.000 0.000 4.352
ATOMIC_POSITIONS crystal
Hf 0.673 0.327 0.000
Hf 0.327 0.673 0.000
Hf 0.829 0.171 0.500
Hf 0.500 0.500 0.500
Hf 0.171 0.829 0.500
Pb 0.000 0.000 0.000
```

---

10.
DFT (PBE) results for a geometry-optimized HfPb structure. Values from VASP.

E: -6.620 eV per atom

```
&SYSTEM
  ibrav = 0, nat = 2, ntyp = 2
/
ATOMIC_SPECIES
Hf 178.49 Hf.upf
Pb 207.20 Pb.upf
CELL_PARAMETERS angstrom
0.605 -2.275 3.451
-2.046 0.953 3.515
-3.027 -2.514 1.401
ATOMIC_POSITIONS crystal
Hf 0.000 0.000 0.000
Pb 0.500 0.500 0.500
```

---

11.
DFT (PBE) results for a geometry-optimized HfPb2 structure. Values from VASP.

E: -5.111 eV per atom

```
&SYSTEM
  ibrav = 0, nat = 6, ntyp = 2
/
ATOMIC_SPECIES
Hf 178.49 Hf.upf
Pb 207.20 Pb.upf
CELL_PARAMETERS angstrom
0.000 4.379 4.379
4.379 0.000 4.379
4.379 4.379 0.000
ATOMIC_POSITIONS crystal
Hf 0.000 0.000 0.000
Hf 0.250 0.250 0.250
Pb 0.625 0.625 0.125
Pb 0.625 0.125 0.625
Pb 0.125 0.625 0.625
Pb 0.625 0.625 0.625
```

---

12.
DFT (PBE) results for a geometry-optimized HfPb2 structure. Values from VASP.

E: -4.464 eV per atom

```
&SYSTEM
  ibrav = 0, nat = 6, ntyp = 2
/
ATOMIC_SPECIES
Hf 178.49 Hf.upf
Pb 207.20 Pb.upf
CELL_PARAMETERS angstrom
-3.886 -1.256 8.224
4.382 -4.839 6.457
3.419 4.245 7.390
ATOMIC_POSITIONS crystal
Hf 0.250 0.250 0.250
Hf 0.500 0.500 0.500
Pb 0.875 0.375 0.375
Pb 0.375 0.875 0.375
Pb 0.375 0.375 0.375
Pb 0.375 0.375 0.875
```